Entry 1:
## Ac6Sb3As2P (PBE-GGA)

Data for a geometry-optimized Ac6Sb3As2P structure.

POSCAR file:
```
Ac6Sb3As2P
1.0
10.1672 -2.3245 0.0000
10.1672 2.3245 0.0000
-2.2086 0.0000 9.0752
Ac Sb As P
6 3 2 1
Cartesian
-0.4729 0.0000 2.1603
5.7803 0.0000 3.8516
4.8725 0.0000 8.2616
13.2533 0.0000 0.8136
12.3454 0.0000 5.2236
18.5986 0.0000 6.9149
1.5611 0.0000 7.5668
9.0629 0.0000 4.5376
16.5646 0.0000 1.5084
2.6454 0.0000 3.0173
15.4803 0.0000 6.0579
10.1672 0.0000 0.0000
```

Results
Total moment: 0.00 μB/cell
Formation energy without anion corrections: -1.329 eV per atom


Entry 2:
## Tb2Pu3Os2 (PBE-GGA)

Data for a geometry-optimized Tb2Pu3Os2 structure.

POSCAR file:
```
Tb2Pu3Os2
1.0
11.1383 0.0000 0.0000
0.0000 4.1029 0.0000
-3.2425 0.0000 7.4008
Tb Pu Os
4 6 4
Cartesian
0.7271 0.0000 2.2844
1.5995 2.0514 5.1164
6.2963 2.0514 2.2844
7.1687 0.0000 5.1164
-1.6213 2.0514 3.7004
-1.7080 2.0514 6.9471
4.0347 0.0000 0.4537
3.9479 0.0000 3.7004
3.8612 0.0000 6.9471
9.6038 2.0514 0.4537
-0.5646 0.0000 5.3394
2.8912 2.0514 2.0614
5.0046 2.0514 5.3394
8.4604 0.0000 2.0614
```

Results
Energy of formation from the pure elements: -88 meV per atom
Total moment: 32.36 μB/cell


Entry 3:
## Ac3InPt8 (PBE-GGA)

Data for a geometry-optimized Ac3InPt8 structure.

POSCAR file:
```
Ac3InPt8
1.0
2.8106 1.6227 9.1220
-2.8106 1.6227 9.1220
0.0000 -3.2454 9.1220
Ac In Pt
3 1 8
Cartesian
0.0000 0.0000 0.0000
0.0000 0.0000 3.5280
0.0000 0.0000 16.8228
0.0000 0.0000 13.3563
0.0000 -1.6370 6.2440
-1.4106 -0.8144 10.7973
-1.4177 0.8185 6.2440
0.0000 0.0000 8.5229
1.4106 -0.8144 10.7973
0.0000 1.6288 10.7973
1.4177 0.8185 6.2440
0.0000 0.0000 22.2204
```

Results
Energy of formation from the pure elements: -921 meV per atom
Total moment: 0.00 μB/cell


Entry 4:
## AlInRe2 (PBE-GGA)

Data for a geometry-optimized AlInRe2 structure.

POSCAR file:
```
AlInRe2
1.0
3.9369 0.0000 0.0000
0.0000 3.9369 0.0000
0.0000 0.0000 4.1876
Al In Re
1 1 2
Cartesian
0.0000 0.0000 0.0000
1.9685 1.9685 0.0000
0.0000 1.9685 2.0938
1.9685 0.0000 2.0938
```

Results
Energy above the most stable polymorph in this dataset: 0.393 eV per atom
Energy of formation from the pure elements: 495 meV per atom
Total moment: 0.00 μB/cell


Entry 5:
## MgNbAsO6 (PBE-GGA)

Data for a geometry-optimized MgNbAsO6 structure.

POSCAR file:
```
MgNbAsO6
1.0
5.0891 0.0000 0.0000
-2.5445 4.4072 0.0000
0.0000 0.0000 9.1126
Mg Nb As O
2 2 2 12
Cartesian
0.0000 0.0000 0.0000
0.0000 0.0000 4.5563
0.0000 2.9382 2.2781
2.5445 1.4691 6.8344
0.0000 2.9382 6.8344
2.5445 1.4691 2.2781
-0.8221 1.6240 5.7931
-1.5492 2.8833 7.8757
0.8221 1.6240 7.8757
-0.7271 4.3072 5.7931
1.8174 0.1001 1.2368
0.9954 1.5239 3.3195
1.5491 2.8833 5.7931
0.7271 4.3072 7.8757
3.2716 0.1001 3.3195
1.7225 2.7833 1.2368
4.0937 1.5239 1.2368
3.3666 2.7833 3.3195
```

Results
Total moment: 0.00 μB/cell
Formation energy without anion corrections: -2.013 eV per atom


Entry 6:
## YLu2Pu (PBE-GGA)

Data for a geometry-optimized YLu2Pu structure.

POSCAR file:
```
YLu2Pu
1.0
7.8067 0.0000 0.0000
0.0000 7.8067 0.0000
0.0000 0.0000 7.8067
Y Lu Pu
4 8 4
Cartesian
0.0000 0.0000 0.0000
0.0000 3.9034 3.9034
3.9034 0.0000 3.9034
3.9034 3.9034 0.0000
1.9517 1.9517 1.9517
1.9517 1.9517 5.8551
1.9517 5.8551 1.9517
1.9517 5.8551 5.8551
5.8551 1.9517 1.9517
5.8551 1.9517 5.8551
5.8551 5.8551 1.9517
5.8551 5.8551 5.8551
0.0000 0.0000 3.9034
0.0000 3.9034 0.0000
3.9034 0.0000 0.0000
3.9034 3.9034 3.9034
```

Results
Energy above the most stable polymorph in this dataset: 0.076 eV per atom
Energy of formation from the pure elements: 168 meV per atom
Total moment: 24.59 μB/cell